Record 1
DFT (PBE) results for a relaxed structure of AcThIn2.

Geometry as CIF:
```
data_AcThIn2
_cell_length_a 5.2019
_cell_length_b 5.2019
_cell_length_c 4.5962
_cell_angle_alpha 90.00
_cell_angle_beta 90.00
_cell_angle_gamma 90.00
_symmetry_space_group_name_H-M 'P 4/m m m'
_symmetry_Int_Tables_number 123
_symmetry_space_group_name_Hall '-P 4 2'
loop_
_atom_site_label
_atom_site_type_symbol
_atom_site_fract_x
_atom_site_fract_y
_atom_site_fract_z
_atom_site_occupancy
Ac1 Ac 0.0000 0.0000 0.0000 1
Th1 Th 0.5000 0.5000 0.0000 1
In1 In 0.0000 0.5000 0.5000 1
```

Output
DOS(E_F)   0.9679 states/eV per atom
Formation enthalpy at 0 K   -0.281 eV per atom
Final energy   -4.53 eV per atom
Magnetic moment   0.0000 μB/atom

***

Record 2
DFT (PBE) results for a relaxed structure of AcThIn4.

Geometry as CIF:
```
data_AcThIn4
_cell_length_a 4.8217
_cell_length_b 7.6936
_cell_length_c 9.3816
_cell_angle_alpha 90.00
_cell_angle_beta 90.00
_cell_angle_gamma 90.00
_symmetry_space_group_name_H-M 'I m m 2'
_symmetry_Int_Tables_number 44
loop_
_symmetry_equiv_pos_as_xyz
'x,y,z'
'-x,-y,z'
'-x,y,z'
'x,-y,z'
'x+1/2,y+1/2,z+1/2'
'-x+1/2,-y+1/2,z+1/2'
'-x+1/2,y+1/2,z+1/2'
'x+1/2,-y+1/2,z+1/2'
loop_
_atom_site_label
_atom_site_type_symbol
_atom_site_fract_x
_atom_site_fract_y
_atom_site_fract_z
_atom_site_occupancy
Ac1 Ac 0.0000 0.0000 0.0000 1
Th1 Th 0.0000 0.5000 0.1117 1
In1 In 0.0000 0.1984 0.3930 1
In2 In 0.0000 0.2932 0.7130 1
```

Output
Energy relative to the lowest polymorph listed for this composition   0.000 eV/atom
DOS(E_F)   0.7009 states/eV per atom
Formation enthalpy at 0 K   -0.359 eV per atom
Final energy   -4.11 eV per atom
Magnetic moment   0.0000 μB/atom

***

Record 3
DFT (PBE) results for a relaxed structure of Ac12Th3In5.

Geometry as CIF:
```
data_Ac12Th3In5
_cell_length_a 19.8155
_cell_length_b 19.8155
_cell_length_c 19.8155
_cell_angle_alpha 90.00
_cell_angle_beta 90.00
_cell_angle_gamma 90.00
_symmetry_space_group_name_H-M 'I a -3 d'
_symmetry_Int_Tables_number 230
_symmetry_space_group_name_Hall '-I 4bd 2c 3'
loop_
_atom_site_label
_atom_site_type_symbol
_atom_site_fract_x
_atom_site_fract_y
_atom_site_fract_z
_atom_site_occupancy
Ac1 Ac 0.0199 0.0738 0.6487 1
Th1 Th 0.0000 0.2500 0.1250 1
In1 In 0.0000 0.0000 0.0000 1
In2 In 0.0000 0.2500 0.3750 1
```

Output
DOS(E_F)   1.7728 states/eV per atom
Formation enthalpy at 0 K   0.469 eV per atom
Final energy   -3.79 eV per atom
Magnetic moment   0.0001 μB/atom

***

Record 4
DFT (PBE) results for a relaxed structure of AcThIn.

Geometry as CIF:
```
data_AcThIn
_cell_length_a 5.5320
_cell_length_b 5.5320
_cell_length_c 3.8581
_cell_angle_alpha 90.00
_cell_angle_beta 90.00
_cell_angle_gamma 120.00
_symmetry_space_group_name_H-M 'P 3 m 1'
_symmetry_Int_Tables_number 156
loop_
_symmetry_equiv_pos_as_xyz
'x,y,z'
'-y,x-y,z'
'-x+y,-x,z'
'-y,-x,z'
'-x+y,y,z'
'x,x-y,z'
loop_
_atom_site_label
_atom_site_type_symbol
_atom_site_fract_x
_atom_site_fract_y
_atom_site_fract_z
_atom_site_occupancy
Ac1 Ac 0.0000 0.0000 0.0000 1
Th1 Th 0.3333 0.6667 0.5590 1
In1 In 0.6667 0.3333 0.3755 1
```

Output
Energy relative to the lowest polymorph listed for this composition   0.114 eV/atom
DOS(E_F)   1.4794 states/eV per atom
Formation enthalpy at 0 K   0.005 eV per atom
Final energy   -4.75 eV per atom
Magnetic moment   0.0003 μB/atom

***

Record 5
DFT (PBE) results for a relaxed structure of AcTh2In.

Geometry as CIF:
```
data_AcTh2In
_cell_length_a 3.5145
_cell_length_b 3.5145
_cell_length_c 37.7710
_cell_angle_alpha 90.00
_cell_angle_beta 90.00
_cell_angle_gamma 120.00
_symmetry_space_group_name_H-M 'R -3 m'
_symmetry_Int_Tables_number 166
_symmetry_space_group_name_Hall '-R 3 2"'
loop_
_atom_site_label
_atom_site_type_symbol
_atom_site_fract_x
_atom_site_fract_y
_atom_site_fract_z
_atom_site_occupancy
Ac1 Ac 0.0000 0.0000 0.0000 1
Th1 Th 0.0000 0.0000 0.0940 1
In1 In 0.0000 0.0000 0.5000 1
```

Output
Energy relative to the lowest polymorph listed for this composition   0.269 eV/atom
DOS(E_F)   1.3718 states/eV per atom
Formation enthalpy at 0 K   0.185 eV per atom
Final energy   -5.24 eV per atom
Magnetic moment   0.0000 μB/atom

***

Record 6
DFT (PBE) results for a relaxed structure of AcTh2In3.

Geometry as CIF:
```
data_AcTh2In3
_cell_length_a 3.6004
_cell_length_b 3.6004
_cell_length_c 13.9718
_cell_angle_alpha 90.00
_cell_angle_beta 90.00
_cell_angle_gamma 90.00
_symmetry_space_group_name_H-M 'P 4/m m m'
_symmetry_Int_Tables_number 123
_symmetry_space_group_name_Hall '-P 4 2'
loop_
_atom_site_label
_atom_site_type_symbol
_atom_site_fract_x
_atom_site_fract_y
_atom_site_fract_z
_atom_site_occupancy
Ac1 Ac 0.0000 0.0000 0.0000 1
Th1 Th 0.0000 0.0000 0.3383 1
In1 In 0.5000 0.5000 0.1769 1
In2 In 0.5000 0.5000 0.5000 1
```

Output
DOS(E_F)   1.1794 states/eV per atom
Formation enthalpy at 0 K   -0.302 eV per atom
Final energy   -4.83 eV per atom
Magnetic moment   0.0001 μB/atom

***

Record 7
DFT (PBE) results for a relaxed structure of AcThIn6.

Geometry as CIF:
```
data_AcThIn6
_cell_length_a 4.8217
_cell_length_b 4.8217
_cell_length_c 9.6587
_cell_angle_alpha 90.00
_cell_angle_beta 90.00
_cell_angle_gamma 90.00
_symmetry_space_group_name_H-M 'P 4/m m m'
_symmetry_Int_Tables_number 123
_symmetry_space_group_name_Hall '-P 4 2'
loop_
_atom_site_label
_atom_site_type_symbol
_atom_site_fract_x
_atom_site_fract_y
_atom_site_fract_z
_atom_site_occupancy
Ac1 Ac 0.0000 0.0000 0.0000 1
Th1 Th 0.0000 0.0000 0.5000 1
In1 In 0.0000 0.5000 0.2573 1
In2 In 0.5000 0.5000 0.0000 1
In3 In 0.5000 0.5000 0.5000 1
```

Output
DOS(E_F)   0.3555 states/eV per atom
Formation enthalpy at 0 K   -0.374 eV per atom
Final energy   -3.87 eV per atom
Magnetic moment   0.0000 μB/atom

***

Record 8
DFT (PBE) results for a relaxed structure of AcThIn4.

Geometry as CIF:
```
data_AcThIn4
_cell_length_a 8.7749
_cell_length_b 8.7749
_cell_length_c 8.7749
_cell_angle_alpha 90.00
_cell_angle_beta 90.00
_cell_angle_gamma 90.00
_symmetry_space_group_name_H-M 'F -4 3 m'
_symmetry_Int_Tables_number 216
_symmetry_space_group_name_Hall 'F -4 2 3'
loop_
_atom_site_label
_atom_site_type_symbol
_atom_site_fract_x
_atom_site_fract_y
_atom_site_fract_z
_atom_site_occupancy
Ac1 Ac 0.0000 0.0000 0.0000 1
Th1 Th 0.2500 0.2500 0.7500 1
In1 In 0.1246 0.1246 0.3754 1
```

Output
Energy relative to the lowest polymorph listed for this composition   0.057 eV/atom
DOS(E_F)   0.9511 states/eV per atom
Formation enthalpy at 0 K   -0.301 eV per atom
Final energy   -4.05 eV per atom
Magnetic moment   0.0002 μB/atom

***

Record 9
DFT (PBE) results for a relaxed structure of Ac5ThIn6.

Geometry as CIF:
```
data_Ac5ThIn6
_cell_length_a 17.8109
_cell_length_b 7.6568
_cell_length_c 5.9533
_cell_angle_alpha 90.00
_cell_angle_beta 100.08
_cell_angle_gamma 90.00
_symmetry_space_group_name_H-M 'C 1 2/m 1'
_symmetry_Int_Tables_number 12
loop_
_symmetry_equiv_pos_as_xyz
'x,y,z'
'-x,-y,-z'
'-x,y,-z'
'x,-y,z'
'x+1/2,y+1/2,z'
'-x+1/2,-y+1/2,-z'
'-x+1/2,y+1/2,-z'
'x+1/2,-y+1/2,z'
loop_
_atom_site_label
_atom_site_type_symbol
_atom_site_fract_x
_atom_site_fract_y
_atom_site_fract_z
_atom_site_occupancy
Ac1 Ac 0.0000 0.0000 0.0000 1
Ac2 Ac 0.1619 0.0000 0.6728 1
Ac3 Ac 0.1757 0.5000 0.6952 1
Th1 Th 0.0000 0.5000 0.0000 1
In1 In 0.0000 0.2781 0.5000 1
In2 In 0.1595 0.2667 0.1845 1
```

Output
DOS(E_F)   0.7537 states/eV per atom
Formation enthalpy at 0 K   -0.375 eV per atom
Final energy   -4.07 eV per atom
Magnetic moment   0.0000 μB/atom

***

Record 10
DFT (PBE) results for a relaxed structure of AcTh4In5.

Geometry as CIF:
```
data_AcTh4In5
_cell_length_a 3.5647
_cell_length_b 3.5647
_cell_length_c 23.2374
_cell_angle_alpha 90.00
_cell_angle_beta 90.00
_cell_angle_gamma 90.00
_symmetry_space_group_name_H-M 'P 4/m m m'
_symmetry_Int_Tables_number 123
_symmetry_space_group_name_Hall '-P 4 2'
loop_
_atom_site_label
_atom_site_type_symbol
_atom_site_fract_x
_atom_site_fract_y
_atom_site_fract_z
_atom_site_occupancy
Ac1 Ac 0.0000 0.0000 0.0000 1
Th1 Th 0.0000 0.0000 0.2052 1
Th2 Th 0.0000 0.0000 0.4017 1
In1 In 0.5000 0.5000 0.1070 1
In2 In 0.5000 0.5000 0.3033 1
In3 In 0.5000 0.5000 0.5000 1
```

Output
DOS(E_F)   1.2216 states/eV per atom
Formation enthalpy at 0 K   -0.294 eV per atom
Final energy   -5.04 eV per atom
Magnetic moment   0.0003 μB/atom

***

> The highest DOS(E_F) belongs to which entry?

Ac12Th3In5

***

> What is the DOS(E_F) in the second record?

0.7009 states/eV per atom

***

> Number 6 is which compound?

AcTh2In3

***

> Look up the DOS(E_F) of the second one.

0.7009 states/eV per atom